# MgCrN2

A geometry-optimized MgCrN2 structure (PBE-GGA, Alexandria via LeMat-Bulk).

Cell lengths 2.9581, 2.9581, 14.7810 Å; angles 90.00, 90.00, 120.00 degrees
Closest atoms and distances in Å follow each position.
Space group R-3m (No. 166, hexagonal axes)
One atom of each set of equivalent atoms:
Mg 0.0000 0.0000 0.0000 x3  6 N 2.18
Cr 0.0000 0.0000 0.5000 x3  6 N 2.04
N 0.0000 0.0000 0.2417 x6  3 Cr 2.04, 3 Mg 2.18

Calculated values
ΔE_f (raw): -0.6209 eV/atom